Record 1
DFT (PBE) results for a relaxed structure of Zr2AlCu5.

**Offset from the most stable computed form**: 0.0706 eV/atom
**Crystal system**: tetragonal
**E_tot**: -84.81 eV per cell
**Energy of formation**: -13.10 kJ per mole of atoms

Lattice parameters (Å, degrees): 4.2526 4.2526 13.2458 90.00 90.00 90.00
Space group I4/mmm (No. 139)
Symmetry-distinct sites (fractional):
Zr1 0.0000 0.0000 0.2485 [4 per cell]
Al1 0.0000 0.0000 0.5000 [2 per cell]
Cu1 0.0000 0.0000 0.0000 [2 per cell]
Cu2 0.0000 0.5000 0.1051 [8 per cell]



Record 2
DFT (PBE) results for a relaxed structure of LiScSbTe2.

**Energy relative to the elements, uncorrected**: -0.03 eV/atom
**Offset from the most stable computed form**: 0.2582 eV/atom
**Crystal system**: tetragonal
**E_tot**: -18.78 eV per cell

Lattice parameters (Å, degrees): 5.2474 5.2474 4.7505 90.00 90.00 90.00
Space group P4/mmm (No. 123)
Symmetry-distinct sites (fractional):
Li1 0.0000 0.0000 0.0000 [1 per cell]
Sc1 0.5000 0.5000 0.5000 [1 per cell]
Sb1 0.0000 0.0000 0.5000 [1 per cell]
Te1 0.0000 0.5000 0.0000 [2 per cell]



Record 3
DFT (PBE) results for a relaxed structure of PuGaCu.

**Crystal system**: tetragonal
**E_tot**: -43.65 eV per cell
**Energy of formation**: -11.87 kJ per mole of atoms

Lattice parameters (Å, degrees): 3.0525 3.0525 11.6730 90.00 90.00 90.00
Space group I4mm (No. 107)
Symmetry-distinct sites (fractional):
Pu1 0.0000 0.0000 0.0000 [2 per cell]
Ga1 0.0000 0.0000 0.6967 [2 per cell]
Cu1 0.0000 0.0000 0.3144 [2 per cell]



Record 4
DFT (PBE) results for a relaxed structure of K3UTe4.

**Energy relative to the elements, uncorrected**: -0.93 eV/atom
**Offset from the most stable computed form**: 0.0000 eV/atom
**Crystal system**: monoclinic
**E_tot**: -69.10 eV per cell

Lattice parameters (Å, degrees): 8.6745 9.8113 8.0375 90.00 109.73 90.00
Space group P2/c (No. 13)
Symmetry-distinct sites (fractional):
K1 0.0000 0.1109 0.2500 [2 per cell]
K2 0.0000 0.3838 0.7500 [2 per cell]
K3 0.5000 0.1148 0.7500 [2 per cell]
U1 0.5000 0.3766 0.2500 [2 per cell]
Te1 0.2751 0.1683 0.0373 [4 per cell]
Te2 0.3035 0.3982 0.4994 [4 per cell]



Record 5
DFT (PBE) results for a relaxed structure of Y2ErSe3.

**Energy relative to the elements, uncorrected**: -1.74 eV/atom
**Crystal system**: orthorhombic
**E_tot**: -76.76 eV per cell

Lattice parameters (Å, degrees): 4.0889 5.7373 12.1899 90.00 90.00 90.00
Space group Immm (No. 71)
Symmetry-distinct sites (fractional):
Y1 0.0000 0.0000 0.1699 [4 per cell]
Er1 0.0000 0.0000 0.5000 [2 per cell]
Se1 0.0000 0.5000 0.1632 [4 per cell]
Se2 0.0000 0.5000 0.5000 [2 per cell]



Record 6
DFT (PBE) results for a relaxed structure of Li6SbPb5.

**Energy relative to the elements, uncorrected**: -0.30 eV/atom
**Crystal system**: monoclinic
**E_tot**: -75.41 eV per cell

Lattice parameters (Å, degrees): 8.6538 14.9374 5.0497 90.00 124.36 90.00
Space group C2/m (No. 12)
Symmetry-distinct sites (fractional):
Li1 0.2253 0.0000 0.2237 [4 per cell]
Li2 0.2345 0.1613 0.7311 [8 per cell]
Sb1 0.0000 0.0000 0.5000 [2 per cell]
Pb1 0.0000 0.1771 0.0000 [4 per cell]
Pb2 0.0000 0.3373 0.5000 [4 per cell]
Pb3 0.0000 0.5000 0.0000 [2 per cell]



> Which value of E_tot does entry 2 give?

-18.78 eV per cell



> Which of these has the highest E_tot?

LiScSbTe2



What did the third record say?
DFT (PBE) results for a relaxed structure of PuGaCu.

**Crystal system**: tetragonal
**E_tot**: -43.65 eV per cell
**Energy of formation**: -11.87 kJ per mole of atoms

Lattice parameters (Å, degrees): 3.0525 3.0525 11.6730 90.00 90.00 90.00
Space group I4mm (No. 107)
Symmetry-distinct sites (fractional):
Pu1 0.0000 0.0000 0.0000 [2 per cell]
Ga1 0.0000 0.0000 0.6967 [2 per cell]
Cu1 0.0000 0.0000 0.3144 [2 per cell]



> The lowest E_tot belongs to which entry?

Zr2AlCu5